{"formula": "CaTe2MoO", "functional": "PBE with a Hubbard U", "state": "optimized geometry", "lattice_angstrom": [[5.718, 0.000, 0.000], [0.000, 5.718, 0.000], [0.000, 0.000, 3.908]], "species": ["Ca", "Te", "Te", "Mo", "O"], "fractional_positions": [[0.000, 0.000, 0.000], [0.000, 0.500, 0.500], [0.500, 0.000, 0.500], [0.500, 0.500, 0.500], [0.500, 0.500, 0.000]], "dos_ef_per_ev_atom": 0.450, "total_energy_ev_per_atom": -4.922, "spacegroup": "P4/mmm, No. 123"}